[1]
Here is an optimized crystal structure of ScMnTe3 from the Alexandria database. Energies are from PBE-GGA.

abc: 7.120 7.120 7.593
angles: 62.06 62.10 60.05
Atoms (fractional coordinates):
Sc 0.162 0.161 0.016
Sc 0.838 0.839 0.984
Mn 0.337 0.337 0.489
Mn 0.663 0.663 0.511
Te 0.076 0.428 0.260
Te 0.263 0.924 0.740
Te 0.428 0.737 0.260
Te 0.572 0.263 0.740
Te 0.737 0.076 0.260
Te 0.924 0.572 0.740

Calculated values
- crystal system = triclinic
- theoretical density (g cm⁻³) = 5.7
- energy above the most stable polymorph in this dataset (meV per atom) = 0
- volume (Å³ per atom) = 28.1
- spin magnetization (μB per formula unit) = 4.02
- E_tot (eV per cell) = -56.26
- formation energy without anion corrections (eV/f.u.) = -3.2

***

[2]
Here is an optimized crystal structure of BaMgTe2 from the Alexandria database. Energies are from PBE-GGA.

abc: 5.710 5.710 5.710
angles: 60.00 60.00 60.00
Atoms (fractional coordinates):
Ba 0.000 0.000 0.000
Mg 0.750 0.750 0.750
Te 0.250 0.250 0.250
Te 0.500 0.500 0.500

Calculated values
- crystal system = cubic
- theoretical density (g cm⁻³) = 5.3
- volume (Å³ per atom) = 32.9
- spin magnetization (μB per formula unit) = 0.00
- E_tot (eV per cell) = -11.77
- formation energy without anion corrections (eV/f.u.) = -2.0

***

[3]
Here is an optimized crystal structure of La2YScTa from the Alexandria database. Energies are from PBE-GGA.

abc: 5.646 5.646 5.394
angles: 90.00 90.00 90.00
Atoms (fractional coordinates):
La 0.000 0.500 0.000
La 0.500 0.000 0.000
Y 0.000 0.000 0.500
Sc 0.500 0.500 0.500
Ta 0.500 0.500 0.000

Calculated values
- crystal system = tetragonal
- theoretical density (g cm⁻³) = 5.7
- volume (Å³ per atom) = 34.4
- energy relative to the elements (eV/atom) = 0.57
- spin magnetization (μB per formula unit) = 0.00
- E_tot (eV per cell) = -31.66

***

[4]
Here is an optimized crystal structure of SrLaB from the Alexandria database. Energies are from PBE-GGA.

abc: 4.857 4.857 7.708
angles: 90.00 90.00 90.00
Atoms (fractional coordinates):
Sr 0.250 0.250 0.199
Sr 0.750 0.750 0.801
La 0.250 0.250 0.647
La 0.750 0.750 0.353
B 0.250 0.750 0.500
B 0.750 0.250 0.500

Calculated values
- crystal system = tetragonal
- theoretical density (g cm⁻³) = 4.3
- energy above the most stable polymorph in this dataset (meV per atom) = 198
- volume (Å³ per atom) = 30.3
- energy relative to the elements (eV/atom) = 0.22
- spin magnetization (μB per formula unit) = 0.00
- E_tot (eV per cell) = -25.26

***

- Among the records above, which one has the lowest theoretical density?
  SrLaB